MgFe2SiO6 | PBE with a Hubbard U | optimized geometry

Geometry as extended XYZ:
```
10
Lattice="4.9234 0.0000 0.0000 2.4605 4.2746 0.0000 2.4569 1.4312 4.5138" Properties=species:S:1:pos:R:3 pbc="T T T"
Mg 0.0000 0.0000 0.0000
Fe 2.4707 1.4320 1.7642
Fe 7.3846 4.2788 3.7981
Si 4.9236 2.8593 2.0079
O 4.2615 4.2547 2.9472
O 3.5014 2.8033 0.8681
O 4.0423 1.5794 2.9451
O 5.5807 4.1048 0.8562
O 6.4554 2.7390 2.9510
O 5.6743 1.6410 0.8646
```

Symmetry ... No. 1
DFT total energy ... -67.1 eV/cell
V ... 9.50 A^3/atom